(1)
The following is a PBE calculation of crystalline K2Tm3Te6 at its relaxed geometry, from the Alexandria database.

The structure belongs to space group C2/m (No. 12); the cell edges are 7.4557, 12.9113 and 8.9784 Å and the angles 90.00°, 106.09° and 90.00°. Symmetry generates all atoms from K at (0.0000, 0.1666, 0.0000), Tm at (0.0000, 0.0000, 0.5000), Tm at (0.0000, 0.3324, 0.5000), Te at (0.2328, 0.5000, 0.7051) and Te at (0.2367, 0.1655, 0.7062).

For the uncorrected formation energy, the calculation gives -1.2745 eV/atom.

---

(2)
The following is a PBE calculation of crystalline LaSmPu at its relaxed geometry, from the Alexandria database.

The structure belongs to space group Fddd (No. 70, origin choice 2); the cell edges are 6.3830, 10.7245 and 22.4224 Å and the angles 90.00°, 90.00° and 90.00°. Symmetry generates all atoms from La at (0.1250, 0.2939, 0.1250), Sm at (0.1250, 0.1250, 0.5462) and Pu at (0.1250, 0.1250, 0.0007).

The distance to the lowest polymorph of the same formula is 45.7 meV per atom. Its energy of formation is 0.51 eV per formula unit.

---

(3)
The following is a PBE calculation of crystalline NaAcDyCd at its relaxed geometry, from the Alexandria database.

The structure belongs to space group F-43m (No. 216); the cell edges are 7.9922, 7.9922 and 7.9922 Å and the angles 90.00°, 90.00° and 90.00°. Symmetry generates all atoms from Na at (0.0000, 0.0000, 0.0000), Ac at (0.2500, 0.2500, 0.7500), Dy at (0.2500, 0.2500, 0.2500) and Cd at (0.0000, 0.0000, 0.5000).

Its energy of formation is 0.15 eV per formula unit.

---

(4)
The following is a PBE calculation of crystalline K3MoH at its relaxed geometry, from the Alexandria database.

The structure belongs to space group Pm-3m (No. 221); the cell edges are 5.6784, 5.6784 and 5.6784 Å and the angles 90.00°, 90.00° and 90.00°. Symmetry generates all atoms from K at (0.0000, 0.0000, 0.5000), Mo at (0.5000, 0.5000, 0.5000) and H at (0.0000, 0.0000, 0.0000).

---

(5)
The following is a PBE calculation of crystalline Pm5CoGe2 at its relaxed geometry, from the Alexandria database.

The structure belongs to space group R-3m (No. 166, hexagonal axes); the cell edges are 5.1706, 5.1706 and 25.7396 Å and the angles 90.00°, 90.00° and 120.00°. Symmetry generates all atoms from Pm at (0.0000, 0.0000, 0.0000), Pm at (0.0000, 0.0000, 0.1302), Pm at (0.0000, 0.0000, 0.2742), Co at (0.0000, 0.0000, 0.5000) and Ge at (0.0000, 0.0000, 0.4018).

Its energy of formation is -2.53 eV per formula unit.

---

(6)
The following is a PBE calculation of crystalline Li5Y3Ho12 at its relaxed geometry, from the Alexandria database.

The structure belongs to space group Ia-3d (No. 230); the cell edges are 17.7120, 17.7120 and 17.7120 Å and the angles 90.00°, 90.00° and 90.00°. Symmetry generates all atoms from Li at (0.0000, 0.0000, 0.0000), Li at (0.0000, 0.2500, 0.3750), Y at (0.0000, 0.2500, 0.1250) and Ho at (0.0211, 0.0721, 0.6432).

Its energy of formation is 16.10 eV per formula unit.

---

(7)
The following is a PBE calculation of crystalline LiGa2Si2 at its relaxed geometry, from the Alexandria database.

The structure belongs to space group P4/mbm (No. 127); the cell edges are 7.2759, 7.2759 and 3.2727 Å and the angles 90.00°, 90.00° and 90.00°. Symmetry generates all atoms from Li at (0.0000, 0.0000, 0.0000), Ga at (0.1443, 0.3557, 0.0000) and Si at (0.1497, 0.6497, 0.5000).

The distance to the lowest polymorph of the same formula is 135.0 meV per atom. For the uncorrected formation energy, the calculation gives 0.1521 eV/atom.

---

(8)
The following is a PBE calculation of crystalline La3Tb3NdS8 at its relaxed geometry, from the Alexandria database.

The structure belongs to space group R-3m (No. 166, hexagonal axes); the cell edges are 8.0163, 8.0163 and 20.0652 Å and the angles 90.00°, 90.00° and 120.00°. Symmetry generates all atoms from La at (0.0000, 0.5000, 0.0000), Tb at (0.0000, 0.5000, 0.5000), Nd at (0.0000, 0.0000, 0.5000), S at (0.0000, 0.0000, 0.2442) and S at (0.0092, 0.5046, 0.7537).

For the uncorrected formation energy, the calculation gives -2.0967 eV/atom.

---

What are the E_tot values for these records? In order: -4.407 -7.821 -2.698 -2.620 -5.328 -3.390 -3.611 -6.527 eV/atom.
What are the D(E_F) values for these records? In order: 0.40 2.65 1.60 0.33 1.02 1.53 0.46 0.51 states/eV/atom.